1.
A relaxed structure of ICl6, computed with PBE-GGA.

The value obtained for the total magnetization is 0.0 Bohr magnetons per cell. As for the uncorrected formation energy: 8 meV/atom.

The space group is Pnma (No. 62) and the conventional cell measures 16.0340, 8.9939 and 7.9620 Å, with angles of 90.00, 90.00 and 90.00 degrees. The inequivalent atoms are I at (0.1201, 0.2500, 0.2111), Cl at (0.0056, 0.2500, 0.0134), Cl at (0.0483, 0.0539, 0.3887), Cl at (0.1900, 0.0569, 0.0522) and Cl at (0.2397, 0.2500, 0.4119).



2.
A relaxed structure of ICl, computed with PBE-GGA.

The value obtained for the total magnetization is 0.0 Bohr magnetons per cell. As for the uncorrected formation energy: -135 meV/atom.

The space group is P1 (No. 1) and the conventional cell measures 6.1083, 6.2328 and 6.2845 Å, with angles of 63.44, 84.38 and 63.35 degrees. The inequivalent atoms are I at (0.0000, 0.0000, 0.0000), I at (0.1874, 0.4223, 0.1856), Cl at (0.3347, 0.9125, 0.3308) and Cl at (0.6957, 0.1142, 0.6999).



3.
A relaxed structure of ICl, computed with PBE-GGA.

The value obtained for the total magnetization is 0.0 Bohr magnetons per cell. As for the uncorrected formation energy: 28 meV/atom.

The space group is P-1 (No. 2) and the conventional cell measures 4.9707, 5.7600 and 6.4561 Å, with angles of 100.25, 109.13 and 110.68 degrees. The inequivalent atoms are I at (0.2380, 0.1192, 0.2373) and Cl at (0.2740, 0.6372, 0.2728).



4.
A relaxed structure of ICl3, computed with PBE-GGA.

The value obtained for the total magnetization is 0.0 Bohr magnetons per cell. Its energy above the lowest structure with this stoichiometry is 0.281 eV/atom. As for the uncorrected formation energy: 88 meV/atom.

The space group is Pmm2 (No. 25) and the conventional cell measures 4.2792, 4.7742 and 7.5046 Å, with angles of 90.00, 90.00 and 90.00 degrees. The inequivalent atoms are I at (0.0000, 0.0000, 0.0000), Cl at (0.0000, 0.5000, 0.0988), Cl at (0.5000, 0.0000, 0.5113) and Cl at (0.5000, 0.5000, 0.5790).



5.
A relaxed structure of ICl, computed with PBE-GGA.

The value obtained for the total magnetization is 0.0 Bohr magnetons per cell. As for the uncorrected formation energy: -140 meV/atom.

The space group is P2_1/c (No. 14) and the conventional cell measures 12.7471, 5.3154 and 11.9203 Å, with angles of 90.00, 112.07 and 90.00 degrees. The inequivalent atoms are I at (0.1881, 0.1392, 0.1111), I at (0.2819, 0.5401, 0.8590), Cl at (0.1042, 0.2059, 0.3890) and Cl at (0.4390, 0.7379, 0.3389).



6.
A relaxed structure of ICl, computed with PBE-GGA.

The value obtained for the total magnetization is 0.0 Bohr magnetons per cell. As for the uncorrected formation energy: -98 meV/atom.

The space group is Pmmn (No. 59, origin choice 2) and the conventional cell measures 8.3509, 12.4990 and 6.0167 Å, with angles of 90.00, 90.00 and 90.00 degrees. The inequivalent atoms are I at (0.2500, 0.0908, 0.1601), I at (0.2500, 0.7500, 0.4322), Cl at (0.2500, 0.2500, 0.8827) and Cl at (0.2500, 0.5449, 0.4796).



7.
A relaxed structure of I4Cl, computed with PBE-GGA.

The value obtained for the total magnetization is 0.0 Bohr magnetons per cell. Its energy above the lowest structure with this stoichiometry is 0.000 eV/atom. As for the uncorrected formation energy: -44 meV/atom.

The space group is P1 (No. 1) and the conventional cell measures 6.4389, 8.9149 and 11.9824 Å, with angles of 68.41, 85.82 and 78.43 degrees. The inequivalent atoms are I at (0.0000, 0.0000, 0.0000), I at (0.0285, 0.4831, 0.0131), I at (0.0636, 0.3149, 0.8309), I at (0.1902, 0.6149, 0.6222), I at (0.3088, 0.0618, 0.3345), I at (0.4803, 0.1926, 0.4980), I at (0.6462, 0.0500, 0.1660), I at (0.8483, 0.8806, 0.5741), Cl at (0.0027, 0.6132, 0.1636) and Cl at (0.6086, 0.3094, 0.6352).



8.
A relaxed structure of ICl, computed with PBE-GGA.

The value obtained for the total magnetization is 0.0 Bohr magnetons per cell. As for the uncorrected formation energy: -138 meV/atom.

The space group is P2_1/c (No. 14) and the conventional cell measures 8.7450, 8.5658 and 11.2957 Å, with angles of 90.00, 114.88 and 90.00 degrees. The inequivalent atoms are I at (0.1557, 0.0040, 0.2961), I at (0.1988, 0.2179, 0.1133), Cl at (0.1285, 0.6884, 0.9647) and Cl at (0.4836, 0.1386, 0.1625).



9.
A relaxed structure of ICl, computed with PBE-GGA.

The value obtained for the total magnetization is 0.0 Bohr magnetons per cell. As for the uncorrected formation energy: -47 meV/atom.

The space group is P-1 (No. 2) and the conventional cell measures 4.8008, 5.8951 and 7.4998 Å, with angles of 70.41, 78.71 and 74.51 degrees. The inequivalent atoms are I at (0.1296, 0.4476, 0.3213) and Cl at (0.3857, 0.1183, 0.1874).



10.
A relaxed structure of ICl, computed with PBE-GGA.

The value obtained for the total magnetization is 0.0 Bohr magnetons per cell. As for the uncorrected formation energy: -103 meV/atom.

The space group is P1 (No. 1) and the conventional cell measures 4.3485, 5.4485 and 7.2653 Å, with angles of 93.30, 90.40 and 90.35 degrees. The inequivalent atoms are I at (0.0000, 0.0000, 0.0000), I at (0.4987, 0.2328, 0.7446), Cl at (0.3109, 0.7914, 0.2216) and Cl at (0.8078, 0.4420, 0.5234).



11.
A relaxed structure of ICl, computed with PBE-GGA.

The value obtained for the total magnetization is 0.0 Bohr magnetons per cell. As for the uncorrected formation energy: -15 meV/atom.

The space group is P2_1/m (No. 11) and the conventional cell measures 4.5458, 9.5329 and 5.0592 Å, with angles of 90.00, 95.62 and 90.00 degrees. The inequivalent atoms are I at (0.0222, 0.2500, 0.0086) and Cl at (0.1341, 0.7500, 0.5417).



12.
A relaxed structure of ICl, computed with PBE-GGA.

The value obtained for the total magnetization is 0.0 Bohr magnetons per cell. As for the uncorrected formation energy: -88 meV/atom.

The space group is P4/m (No. 83) and the conventional cell measures 13.7643, 13.7643 and 4.8522 Å, with angles of 90.00, 90.00 and 90.00 degrees. The inequivalent atoms are I at (0.0278, 0.1976, 0.0000), I at (0.3134, 0.5706, 0.5000), Cl at (0.1599, 0.7880, 0.0000) and Cl at (0.2575, 0.3916, 0.5000).



13.
A relaxed structure of ICl, computed with PBE-GGA.

The value obtained for the total magnetization is 0.0 Bohr magnetons per cell. As for the uncorrected formation energy: 505 meV/atom.

The space group is Pm-3n (No. 223) and the conventional cell measures 8.5566, 8.5566 and 8.5566 Å, with angles of 90.00, 90.00 and 90.00 degrees. The inequivalent atoms are I at (0.0000, 0.2500, 0.5000) and Cl at (0.0000, 0.5000, 0.2500).



14.
A relaxed structure of ICl3, computed with PBE-GGA.

The value obtained for the total magnetization is 0.0 Bohr magnetons per cell. Its energy above the lowest structure with this stoichiometry is 0.000 eV/atom. As for the uncorrected formation energy: -193 meV/atom.

The space group is P-1 (No. 2) and the conventional cell measures 6.0135, 6.3397 and 8.9326 Å, with angles of 71.55, 83.94 and 85.11 degrees. The inequivalent atoms are I at (0.1761, 0.4988, 0.1816), Cl at (0.1219, 0.7592, 0.8773), Cl at (0.2025, 0.2457, 0.4437) and Cl at (0.4380, 0.7516, 0.2038).



15.
A relaxed structure of ICl, computed with PBE-GGA.

The value obtained for the total magnetization is 0.0 Bohr magnetons per cell. As for the uncorrected formation energy: -61 meV/atom.

The space group is Pm (No. 6) and the conventional cell measures 5.3633, 6.3356 and 5.3637 Å, with angles of 90.00, 110.88 and 90.00 degrees. The inequivalent atoms are I at (0.0000, 0.0000, 0.0000), I at (0.0017, 0.5000, 0.0004), Cl at (0.5015, 0.5000, 0.9997) and Cl at (0.9916, 0.0000, 0.4970).



16.
A relaxed structure of ICl, computed with PBE-GGA.

The value obtained for the total magnetization is 0.0 Bohr magnetons per cell. As for the uncorrected formation energy: 36 meV/atom.

The space group is I-43m (No. 217) and the conventional cell measures 9.7428, 9.7428 and 9.7428 Å, with angles of 90.00, 90.00 and 90.00 degrees. The inequivalent atoms are I at (0.2300, 0.2300, 0.7700) and Cl at (0.1305, 0.1305, 0.1305).



17.
A relaxed structure of ICl3, computed with PBE-GGA.

The value obtained for the total magnetization is 0.0 Bohr magnetons per cell. Its energy above the lowest structure with this stoichiometry is 0.440 eV/atom. As for the uncorrected formation energy: 247 meV/atom.

The space group is R-3m (No. 166, hexagonal axes) and the conventional cell measures 3.4398, 3.4398 and 37.0407 Å, with angles of 90.00, 90.00 and 120.00 degrees. The inequivalent atoms are I at (0.0000, 0.0000, 0.0000), Cl at (0.0000, 0.0000, 0.4405) and Cl at (0.0000, 0.0000, 0.5000).



18.
A relaxed structure of ICl, computed with PBE-GGA.

The value obtained for the total magnetization is 8.2 Bohr magnetons per cell. As for the uncorrected formation energy: 575 meV/atom.

The space group is F-43m (No. 216) and the conventional cell measures 7.3157, 7.3157 and 7.3157 Å, with angles of 90.00, 90.00 and 90.00 degrees. The inequivalent atoms are I at (0.0000, 0.0000, 0.0000) and Cl at (0.2500, 0.2500, 0.2500).



19.
A relaxed structure of ICl, computed with PBE-GGA.

The value obtained for the total magnetization is 0.0 Bohr magnetons per cell. As for the uncorrected formation energy: -132 meV/atom.

The space group is P2_1/c (No. 14) and the conventional cell measures 9.7323, 8.4564 and 8.7992 Å, with angles of 90.00, 91.43 and 90.00 degrees. The inequivalent atoms are I at (0.0284, 0.1030, 0.2480), I at (0.2974, 0.5049, 0.8508), Cl at (0.2143, 0.6839, 0.3486) and Cl at (0.4018, 0.2452, 0.8714).



20.
A relaxed structure of ICl, computed with PBE-GGA.

The value obtained for the total magnetization is 0.0 Bohr magnetons per cell. As for the uncorrected formation energy: -134 meV/atom.

The space group is P2_1/c (No. 14) and the conventional cell measures 8.8266, 6.8574 and 14.4379 Å, with angles of 90.00, 104.95 and 90.00 degrees. The inequivalent atoms are I at (0.1558, 0.0162, 0.2712), I at (0.1832, 0.2278, 0.1033), Cl at (0.1279, 0.6691, 0.9235) and Cl at (0.4504, 0.1402, 0.1124).